This record from the Alexandria database describes crystalline SrTb3 at its relaxed geometry. The functional is PBE.

Calculated values
energy of formation from the pure elements: 0.68 eV/f.u.
crystal system: orthorhombic

a = 3.687 Å, b = 5.868 Å, c = 6.607 Å
α = 90.00°, β = 90.00°, γ = 90.00°
Sites, in units of the cell vectors:
1 Tb 0.500 0.500 0.827
2 Tb 0.500 0.000 0.523
3 Tb 0.000 0.000 0.988
4 Sr 0.000 0.500 0.329

=====

This record from the Alexandria database describes crystalline Th3Cd5S12 at its relaxed geometry. The functional is PBE.

Calculated values
formation energy from raw total energies: -1.04 eV per atom
crystal system: cubic

a = 13.705 Å, b = 13.705 Å, c = 13.705 Å
α = 109.47°, β = 109.47°, γ = 109.47°
Sites, in units of the cell vectors:
1 S 0.049 0.415 0.827
2 S 0.722 0.588 0.173
3 S 0.365 0.415 0.088
4 S 0.585 0.951 0.673
5 S 0.673 0.222 0.588
6 S 0.635 0.049 0.222
7 S 0.085 0.912 0.135
8 Cd 0.125 0.750 0.375
9 S 0.915 0.088 0.865
10 S 0.585 0.635 0.412
11 S 0.778 0.451 0.365
12 Cd 0.875 0.625 0.750
13 Th 0.375 0.750 0.625
14 S 0.415 0.049 0.327
15 S 0.722 0.135 0.049
16 S 0.049 0.635 0.722
17 S 0.412 0.278 0.327
18 S 0.135 0.412 0.085
19 Cd 0.750 0.625 0.375
20 S 0.327 0.778 0.412
21 Cd 0.000 0.000 0.000
22 S 0.951 0.365 0.278
23 Th 0.125 0.250 0.875
24 S 0.951 0.585 0.173
25 S 0.865 0.278 0.451
26 Cd 0.625 0.875 0.250
27 S 0.827 0.912 0.278
28 S 0.135 0.722 0.549
29 Th 0.625 0.250 0.375
30 S 0.827 0.915 0.049
31 S 0.088 0.915 0.365
32 S 0.222 0.549 0.635
33 S 0.278 0.865 0.951
34 Cd 0.000 0.000 0.500
35 S 0.865 0.588 0.915
36 Th 0.875 0.750 0.125
37 S 0.173 0.085 0.951
38 Th 0.250 0.625 0.875
39 S 0.588 0.722 0.673
40 Th 0.375 0.625 0.250
41 S 0.549 0.327 0.915
42 Th 0.250 0.125 0.375
43 Th 0.625 0.375 0.750
44 S 0.451 0.778 0.865
45 S 0.588 0.865 0.415
46 S 0.912 0.827 0.778
47 Cd 0.750 0.125 0.875
48 S 0.415 0.365 0.588
49 S 0.088 0.173 0.222
50 Cd 0.250 0.375 0.625
51 S 0.173 0.088 0.722
52 Th 0.750 0.875 0.625
53 Th 0.750 0.375 0.125
54 S 0.778 0.327 0.912
55 S 0.412 0.135 0.585
56 S 0.549 0.222 0.135
57 S 0.912 0.085 0.635
58 Cd 0.500 0.500 0.500
59 Cd 0.000 0.500 0.000
60 Cd 0.500 0.500 0.000
61 Th 0.875 0.125 0.250
62 S 0.327 0.549 0.415
63 S 0.451 0.673 0.085
64 Cd 0.625 0.750 0.875
65 S 0.278 0.412 0.827
66 Cd 0.500 0.000 0.500
67 Cd 0.375 0.250 0.125
68 S 0.673 0.451 0.585
69 S 0.085 0.173 0.451
70 Cd 0.250 0.875 0.125
71 Cd 0.500 0.000 0.000
72 Cd 0.875 0.250 0.625
73 S 0.222 0.673 0.088
74 S 0.635 0.585 0.912
75 Cd 0.375 0.125 0.750
76 Cd 0.000 0.500 0.500
77 S 0.365 0.951 0.778
78 Cd 0.125 0.375 0.250
79 S 0.915 0.827 0.549
80 Th 0.125 0.875 0.750

=====

This record from the Alexandria database describes crystalline Dy6Te3AsIr2 at its relaxed geometry. The functional is PBE.

Calculated values
formation energy from raw total energies: -1.18 eV per atom
crystal system: monoclinic

a = 7.235 Å, b = 7.235 Å, c = 7.571 Å
α = 99.27°, β = 99.27°, γ = 120.07°
Sites, in units of the cell vectors:
1 Dy 0.069 0.414 0.211
2 Dy 0.586 0.931 0.789
3 Dy 0.931 0.586 0.789
4 Te 0.500 0.500 0.500
5 Ir 0.667 0.333 0.000
6 Te 0.837 0.163 0.500
7 Ir 0.333 0.667 0.000
8 As 0.000 0.000 0.000
9 Te 0.163 0.837 0.500
10 Dy 0.727 0.727 0.210
11 Dy 0.414 0.069 0.211
12 Dy 0.273 0.273 0.790

=====

Number 1: calculated density 6.55 Mg/m³, size of the total moment 0.001 Bohr magnetons per cell. Number 2: calculated density 5.51 Mg/m³, size of the total moment 0.000 Bohr magnetons per cell. Number 3: calculated density 9.29 Mg/m³, size of the total moment 0.000 Bohr magnetons per cell.